Version 1
First-principles (PBE) data for a geometry-optimized YGaAs2Br structure, as listed in Alexandria.

Its volume is 25.00 A^3/atom. Its space group is P4/mmm.

Cell and atoms, written as CIF:
```
data_YGaAs2Br
_symmetry_space_group_name_H-M 'P 1'
_symmetry_Int_Tables_number 1
_cell_length_a 4.8967
_cell_length_b 4.8967
_cell_length_c 5.2131
_cell_angle_alpha 90.00
_cell_angle_beta 90.00
_cell_angle_gamma 90.00
loop_
_symmetry_equiv_pos_as_xyz
'x,y,z'
loop_
_atom_site_label
_atom_site_type_symbol
_atom_site_fract_x
_atom_site_fract_y
_atom_site_fract_z
_atom_site_occupancy
Y1 Y 0.5000 0.5000 0.5000 1
As1 As 0.0000 0.5000 0.0000 1
As2 As 0.5000 0.0000 0.0000 1
Ga1 Ga 0.0000 0.0000 0.0000 1
Br1 Br 0.0000 0.0000 0.5000 1
```



Version 2
First-principles (PBE) data for a geometry-optimized YGaAs2Br structure, as listed in Alexandria.

Its volume is 34.00 A^3/atom. Its space group is P4/mmm.

Cell and atoms, written as CIF:
```
data_YGaAs2Br
_symmetry_space_group_name_H-M 'P 1'
_symmetry_Int_Tables_number 1
_cell_length_a 5.4978
_cell_length_b 5.4978
_cell_length_c 5.6235
_cell_angle_alpha 90.00
_cell_angle_beta 90.00
_cell_angle_gamma 90.00
loop_
_symmetry_equiv_pos_as_xyz
'x,y,z'
loop_
_atom_site_label
_atom_site_type_symbol
_atom_site_fract_x
_atom_site_fract_y
_atom_site_fract_z
_atom_site_occupancy
Y1 Y 0.0000 0.0000 0.0000 1
As1 As 0.0000 0.5000 0.0000 1
As2 As 0.5000 0.0000 0.0000 1
Ga1 Ga 0.5000 0.5000 0.5000 1
Br1 Br 0.0000 0.0000 0.5000 1
```



The energetic minimum among the shown structures is version 1; the next structure lies 6.3 kJ/mol of atoms above.